Below is an optimized crystal structure of PuHgPt, with properties calculated at the PBE-GGA level.

Unit cell a=3.756 b=17.455 c=4.236 alpha=90.00 beta=90.00 gamma=90.00
Space group Cmcm (No. 63)
Inequivalent atoms, fractional coordinates:
1 Pu 0.000 0.097 0.250 (multiplicity 4)
2 Hg 0.000 0.288 0.250 (multiplicity 4)
3 Pt 0.000 0.448 0.250 (multiplicity 4)

The total energy comes out at -7.4478 eV per atom. The crystal system is orthorhombic. The value obtained for the energy relative to the elements is -1.67 eV/f.u. Its total magnetization is 21.32 μB/cell.



Below is an optimized crystal structure of Li2YZnO, with properties calculated at the PBE-GGA level.

Unit cell a=4.322 b=4.322 c=4.496 alpha=90.00 beta=90.00 gamma=90.00
Space group P4/mmm (No. 123)
Inequivalent atoms, fractional coordinates:
1 Li 0.000 0.500 0.000 (multiplicity 2)
2 Y 0.000 0.000 0.500 (multiplicity 1)
3 Zn 0.500 0.500 0.500 (multiplicity 1)
4 O 0.000 0.000 0.000 (multiplicity 1)

The total energy comes out at -4.4030 eV per atom. The raw formation energy is -1.098 eV per atom. The crystal system is tetragonal. Its total magnetization is 0.73 μB/cell.



Below is an optimized crystal structure of ThAgHgAu, with properties calculated at the PBE-GGA level.

Unit cell a=5.096 b=5.096 c=7.103 alpha=90.00 beta=90.00 gamma=90.00
Space group I-4m2 (No. 119)
Inequivalent atoms, fractional coordinates:
1 Th 0.000 0.000 0.000 (multiplicity 2)
2 Ag 0.000 0.000 0.500 (multiplicity 2)
3 Hg 0.000 0.500 0.750 (multiplicity 2)
4 Au 0.000 0.500 0.250 (multiplicity 2)

The total energy comes out at -3.8114 eV per atom. The relative energy among the computed polymorphs is 0.0 meV per atom. The crystal system is tetragonal. The value obtained for the energy relative to the elements is -1.40 eV/f.u. Its total magnetization is 0.00 μB/cell.



Below is an optimized crystal structure of NbTl2Mo, with properties calculated at the PBE-GGA level.

Unit cell a=7.741 b=7.741 c=5.854 alpha=90.00 beta=90.00 gamma=90.00
Space group I-42d (No. 122)
Inequivalent atoms, fractional coordinates:
1 Nb 0.000 0.000 0.000 (multiplicity 4)
2 Tl 0.243 0.250 0.625 (multiplicity 8)
3 Mo 0.000 0.000 0.500 (multiplicity 4)

The total energy comes out at -5.3927 eV per atom. The relative energy among the computed polymorphs is 253.3 meV per atom. The crystal system is tetragonal. The value obtained for the energy relative to the elements is 4.06 eV/f.u. Its total magnetization is 4.10 μB/cell.



Below is an optimized crystal structure of DyEr2TmN4, with properties calculated at the PBE-GGA level.

Unit cell a=5.946 b=3.434 c=5.946 alpha=90.00 beta=109.45 gamma=90.00
Space group P2/m (No. 10)
Inequivalent atoms, fractional coordinates:
1 Dy 0.000 0.000 0.000 (multiplicity 1)
2 Er 0.500 0.000 0.500 (multiplicity 1)
3 Er 0.500 0.500 0.000 (multiplicity 1)
4 Tm 0.000 0.500 0.500 (multiplicity 1)
5 N 0.250 0.000 0.748 (multiplicity 2)
6 N 0.251 0.500 0.252 (multiplicity 2)

The total energy comes out at -8.2109 eV per atom. The raw formation energy is -1.773 eV per atom. The crystal system is monoclinic. Its total magnetization is 0.00 μB/cell.



Below is an optimized crystal structure of BaTaRe, with properties calculated at the PBE-GGA level.

Unit cell a=3.423 b=5.173 c=15.749 alpha=90.00 beta=90.00 gamma=90.00
Space group Fmm2 (No. 42)
Inequivalent atoms, fractional coordinates:
1 Ba 0.000 0.000 0.000 (multiplicity 4)
2 Ta 0.000 0.000 0.704 (multiplicity 4)
3 Re 0.000 0.000 0.321 (multiplicity 4)

The total energy comes out at -7.9040 eV per atom. The relative energy among the computed polymorphs is 233.7 meV per atom. The crystal system is orthorhombic. The value obtained for the energy relative to the elements is 2.51 eV/f.u. Its total magnetization is 0.00 μB/cell.



Below is an optimized crystal structure of Tl2Te2Ru, with properties calculated at the PBE-GGA level.

Unit cell a=7.358 b=7.358 c=4.898 alpha=90.00 beta=90.00 gamma=90.00
Space group P4/mbm (No. 127)
Inequivalent atoms, fractional coordinates:
1 Tl 0.145 0.355 0.000 (multiplicity 4)
2 Te 0.184 0.684 0.500 (multiplicity 4)
3 Ru 0.000 0.000 0.000 (multiplicity 2)

The total energy comes out at -3.3679 eV per atom. The relative energy among the computed polymorphs is 0.0 meV per atom. The raw formation energy is 0.690 eV per atom. The crystal system is tetragonal. Its total magnetization is 0.00 μB/cell.



Below is an optimized crystal structure of Pm8Dy3Er2, with properties calculated at the PBE-GGA level.

Unit cell a=6.148 b=6.783 c=11.954 alpha=87.07 beta=75.99 gamma=63.93
Space group P-1 (No. 2)
Inequivalent atoms, fractional coordinates:
1 Pm 0.114 0.088 0.330 (multiplicity 2)
2 Pm 0.248 0.378 0.736 (multiplicity 2)
3 Pm 0.273 0.688 0.114 (multiplicity 2)
4 Pm 0.351 0.835 0.803 (multiplicity 2)
5 Dy 0.191 0.228 0.035 (multiplicity 2)
6 Dy 0.500 0.000 0.500 (multiplicity 1)
7 Er 0.233 0.562 0.427 (multiplicity 2)

The total energy comes out at -4.6178 eV per atom. The relative energy among the computed polymorphs is 0.0 meV per atom. The crystal system is triclinic. The value obtained for the energy relative to the elements is 0.90 eV/f.u. Its total magnetization is 0.00 μB/cell.